# 1
The following is a GGA-PBE calculation of Cs2MgPBr6 after structural relaxation, from Alexandria.

Unit cell a=7.765 b=7.765 c=7.739 alpha=59.89 beta=59.89 gamma=90.00
Element x y z (fractional)
1 Cs 0.750 0.250 0.500
2 Cs 0.250 0.750 0.500
3 P 0.000 0.000 0.000
4 Mg 0.500 0.500 0.000
5 Br 0.241 0.241 0.518
6 Br 0.759 0.759 0.482
7 Br 0.252 0.252 0.000
8 Br 0.748 0.748 0.000
9 Br 0.748 0.252 0.000
10 Br 0.252 0.748 0.000

Calculated values
The value obtained for the formation energy without anion corrections is -1.07 eV per atom. The space group is I4/mmm, No. 139.



# 2
The following is a GGA-PBE calculation of LaSI after structural relaxation, from Alexandria.

Unit cell a=6.975 b=4.477 c=4.477 alpha=120.00 beta=90.00 gamma=90.00
Element x y z (fractional)
1 I 0.748 0.667 0.333
2 S 0.202 0.333 0.667
3 La 0.051 0.000 0.000

Calculated values
The value obtained for the formation energy without anion corrections is -1.83 eV per atom. The space group is P3m1, No. 156.



# 3
The following is a GGA-PBE calculation of SrLiMg after structural relaxation, from Alexandria.

Unit cell a=6.363 b=5.001 c=12.165 alpha=90.00 beta=91.35 gamma=90.00
Element x y z (fractional)
1 Sr 0.260 0.000 0.407
2 Sr 0.260 0.500 0.907
3 Sr 0.750 0.000 0.834
4 Sr 0.750 0.500 0.334
5 Li 0.003 0.000 0.120
6 Li 0.003 0.500 0.620
7 Li 0.758 0.000 0.558
8 Li 0.758 0.500 0.058
9 Mg 0.247 0.000 0.691
10 Mg 0.247 0.500 0.191
11 Mg 0.505 0.000 0.118
12 Mg 0.505 0.500 0.618

Calculated values
The calculation puts the energy above the lowest structure with this stoichiometry at 16 meV/atom. The calculation puts the formation energy at -0.033 eV/atom. The space group is Cm, No. 8.



Calculated M_tot, 0.000 0.000 0.000 μB/atom (same order as the records).